# Li3Mn4SnO8

An optimized crystal structure of Li3Mn4SnO8 (PBE+U, the Alexandria database).

Properties
E_tot: -213.07 eV/cell
magnetic moment: 32.00 μB per cell
SG: P-1 (2)

abc: 6.224 10.678 6.257
angles: 74.79 60.63 74.46
Last column: magnetic moment on the atom in μB.
Fractional coordinates of all 32 atoms:
Li 0.746 0.247 0.745  0.00
Li 0.254 0.753 0.255  0.00
Li 0.769 0.233 0.265  0.01
Li 0.231 0.767 0.735  0.01
Li 0.242 0.266 0.722  0.00
Li 0.758 0.734 0.278  0.00
Mn 0.248 0.249 0.247  4.63
Mn 0.752 0.751 0.753  4.63
Mn 0.000 0.000 0.500  -1.99
Mn 0.500 0.500 0.000  4.62
Mn 0.500 0.000 0.000  4.61
Mn 0.000 0.500 0.500  3.96
Mn 0.500 0.500 0.500  4.64
Mn 0.000 0.000 0.000  4.63
Sn 0.500 0.000 0.500  0.01
Sn 0.000 0.500 0.000  0.01
O 0.889 0.389 0.843  0.00
O 0.356 0.887 0.386  0.05
O 0.644 0.113 0.614  0.05
O 0.111 0.611 0.157  0.00
O 0.333 0.389 0.384  0.04
O 0.888 0.893 0.830  0.07
O 0.112 0.107 0.170  0.07
O 0.667 0.611 0.616  0.04
O 0.873 0.376 0.346  0.09
O 0.380 0.878 0.853  0.07
O 0.355 0.377 0.879  0.08
O 0.863 0.884 0.383  0.07
O 0.137 0.116 0.617  0.07
O 0.645 0.623 0.121  0.08
O 0.620 0.122 0.147  0.07
O 0.127 0.624 0.654  0.09